Record 1
The following is a DFT calculation (PBE) of a geometry-optimized SmSn12Pt4 structure.

Results
SG   No. 204
N(E_F)   10.583 states/eV per cell
Raw total energy   -4.9243 eV per atom

Structure (CIF):
```
data_SmSn12Pt4
_cell_length_a 8.2368
_cell_length_b 8.2367
_cell_length_c 8.2367
_cell_angle_alpha 109.47
_cell_angle_beta 109.47
_cell_angle_gamma 109.47
_space_group_name_H-M_alt 'P 1'
_space_group_IT_number 1
loop_
_space_group_symop_operation_xyz
'x,y,z'
loop_
_atom_site_label
_atom_site_fract_x
_atom_site_fract_y
_atom_site_fract_z
_atom_site_occupancy
Sn1 0.5004 0.1577 0.3426 1
Sn2 0.6574 0.8151 0.1577 1
Sn3 0.8423 0.6574 0.4996 1
Sn4 0.3426 0.1849 0.8423 1
Sn5 0.8423 0.3426 0.1849 1
Sn6 0.3426 0.5004 0.1577 1
Sn7 0.1849 0.8423 0.3426 1
Sn8 0.1577 0.3426 0.5004 1
Sn9 0.8151 0.1577 0.6574 1
Sn10 0.1577 0.6574 0.8151 1
Sn11 0.4996 0.8423 0.6574 1
Sn12 0.6574 0.4996 0.8423 1
Pt1 0.0000 0.0000 0.5000 1
Pt2 0.5000 0.5000 0.5000 1
Pt3 0.0000 0.5000 0.0000 1
Pt4 0.5000 0.0000 0.0000 1
Sm1 0.0000 0.0000 0.0000 1
```


Record 2
The following is a DFT calculation (PBE) of a geometry-optimized Al2TlHg2 structure.

Results
SG   No. 127
N(E_F)   4.045 states/eV per cell
Raw total energy   -1.9349 eV per atom

Structure (CIF):
```
data_Al2TlHg2
_cell_length_a 8.2256
_cell_length_b 8.2256
_cell_length_c 3.4311
_cell_angle_alpha 90.00
_cell_angle_beta 90.00
_cell_angle_gamma 90.00
_space_group_name_H-M_alt 'P 1'
_space_group_IT_number 1
loop_
_space_group_symop_operation_xyz
'x,y,z'
loop_
_atom_site_label
_atom_site_fract_x
_atom_site_fract_y
_atom_site_fract_z
_atom_site_occupancy
Tl1 0.5000 0.5000 0.0000 1
Tl2 0.0000 0.0000 0.0000 1
Al1 0.6202 0.1202 0.0000 1
Al2 0.3798 0.8798 0.0000 1
Al3 0.1202 0.3798 0.0000 1
Al4 0.8798 0.6202 0.0000 1
Hg1 0.6776 0.8224 0.5000 1
Hg2 0.8224 0.3224 0.5000 1
Hg3 0.3224 0.1776 0.5000 1
Hg4 0.1776 0.6776 0.5000 1
```


Record 3
The following is a DFT calculation (PBE) of a geometry-optimized TaRe structure.

Results
SG   No. 12
N(E_F)   3.788 states/eV per cell
Raw total energy   -12.3312 eV per atom

Structure (CIF):
```
data_TaRe
_cell_length_a 5.3246
_cell_length_b 5.3246
_cell_length_c 6.4488
_cell_angle_alpha 71.68
_cell_angle_beta 71.68
_cell_angle_gamma 34.85
_space_group_name_H-M_alt 'P 1'
_space_group_IT_number 1
loop_
_space_group_symop_operation_xyz
'x,y,z'
loop_
_atom_site_label
_atom_site_fract_x
_atom_site_fract_y
_atom_site_fract_z
_atom_site_occupancy
Re1 0.1684 0.1684 0.6668 1
Re2 0.5000 0.5000 0.5000 1
Re3 0.8316 0.8316 0.3332 1
Ta1 0.8342 0.8342 0.8228 1
Ta2 0.5000 0.5000 0.0000 1
Ta3 0.1658 0.1658 0.1772 1
```